1.
A relaxed AcBi2MoO6 crystal, computed with GGA+U.

abc: 6.5416 6.3811 6.2157
angles: 55.85 58.65 57.85
Each line ends with the local moment (μB).
Positions (direct):
Ac1 0.8131 0.7948 0.5552  0.01
Mo1 0.3173 0.3181 0.0681  2.71
O1 0.4528 0.6483 0.7590  0.00
O2 0.1621 0.9866 0.3772  0.01
O3 0.6610 0.1153 0.7819  0.01
O4 0.1586 0.4362 0.7658  0.01
O5 0.5136 0.2111 0.3263  0.02
O6 0.9997 0.6535 0.1764  0.00
Bi1 0.5036 0.4989 0.4366  0.02
Bi2 0.0797 0.9987 0.7687  0.03

Computed properties:
Final energy   -6.651 eV/atom
Crystal system   triclinic


2.
A relaxed Na2VFeO4 crystal, computed with GGA+U.

abc: 3.1159 5.3371 5.6440
angles: 108.26 90.00 90.00
Each line ends with the local moment (μB).
Positions (direct):
O1 0.5000 0.2187 0.2038  0.03
O2 0.5000 0.7813 0.7962  0.03
O3 0.0000 0.2329 0.8050  0.00
O4 0.0000 0.7671 0.1950  0.00
V1 0.0000 0.0000 0.0000  1.09
Na1 0.5000 0.0000 0.5000  0.00
Na2 0.0000 0.5000 0.5000  0.00
Fe1 0.5000 0.5000 0.0000  3.73

Computed properties:
Final energy   -6.212 eV/atom
Crystal system   monoclinic


Number 1: total magnetization 3.00 μB/f.u., mass density 8.1 g/cm³. Number 2: total magnetization 5.01 μB/f.u., mass density 4.0 g/cm³.